# 1
{"formula": "YIn2Tc", "functional": "SCAN", "state": "PBEsol geometry", "formation_enthalpy_0k_mev_per_atom": 183, "e_above_lowest_polymorph_mev_per_atom": 185, "cell": [[1.5950, 0.9209, 9.5898], [-1.5950, 0.9209, 9.5898], [0.0000, -1.8417, 9.5898]], "species": ["Y", "In", "In", "Tc"], "frac_coords": [[0.0000, 0.0000, 0.0000], [0.2393, 0.2393, 0.2393], [0.7607, 0.7607, 0.7607], [0.5000, 0.5000, 0.5000]]}

---

# 2
{"formula": "YInTc", "functional": "SCAN", "state": "PBEsol geometry", "formation_enthalpy_0k_mev_per_atom": 264, "cell": [[0.0000, 3.2611, 3.2611], [3.2611, 0.0000, 3.2611], [3.2611, 3.2611, 0.0000]], "species": ["Y", "In", "Tc"], "frac_coords": [[0.0000, 0.0000, 0.0000], [0.5000, 0.5000, 0.5000], [0.2500, 0.2500, 0.2500]]}

---

# 3
{"formula": "Y2InTc", "functional": "SCAN", "state": "PBEsol geometry", "formation_enthalpy_0k_mev_per_atom": -158, "cell": [[-1.7545, 2.4630, 5.2553], [1.7545, -2.4630, 5.2553], [1.7545, 2.4630, -5.2553]], "species": ["Y", "Y", "In", "Tc"], "frac_coords": [[0.0000, 0.0000, 0.0000], [0.7087, 0.2087, 0.5000], [0.4250, 0.4250, 0.0000], [0.2225, 0.7225, 0.5000]]}